# NaGeSbS2

A relaxed NaGeSbS2 crystal (PBE, Alexandria via LeMat-Bulk).

Cell: 5.1776 5.1776 5.4655 Å, 90.00 90.00 90.00°
Element x y z (fractional)
Na 0.0000 0.0000 0.0000
Ge 0.5000 0.5000 0.0000
Sb 0.0000 0.0000 0.5000
S 0.0000 0.5000 0.5000
S 0.5000 0.0000 0.5000

Properties
- calculated density (g cm⁻³) = 3.191
- magnetic moment (μB per formula unit) = 0.000
- energy (Ha/atom) = -0.1144
- formation energy (no corrections) (eV per atom) = 0.5508